(1)
First-principles (GGA-PBE) data for a relaxed AcCeNiGe crystal, as listed in the Alexandria database.

Properties
* VASP energy: -5.411 eV per atom
* ΔE to the lowest computed polymorph: 37.5 meV per atom
* DFT formation energy: -0.301 eV per atom
* total magnetization: 1.00 μB/f.u.

Cell and atoms, written as CIF:
```
data_AcCeNiGe
_chemical_formula_sum 'Ac4 Ce4 Ni4 Ge4'
_cell_length_a 7.383
_cell_length_b 7.383
_cell_length_c 7.383
_cell_angle_alpha 90.00
_cell_angle_beta 90.00
_cell_angle_gamma 90.00
_symmetry_space_group_name_H-M 'F -4 3 m'
_symmetry_Int_Tables_number 216
_symmetry_space_group_name_Hall 'F -4 2 3'
loop_
_atom_site_label
_atom_site_type_symbol
_atom_site_fract_x
_atom_site_fract_y
_atom_site_fract_z
Ac1 Ac 0.000 0.000 0.000
Ce1 Ce 0.000 0.000 0.500
Ni1 Ni 0.250 0.250 0.250
Ge1 Ge 0.250 0.250 0.750
```

(2)
First-principles (GGA-PBE) data for a relaxed Ac2Ce4Ge3O2 crystal, as listed in the Alexandria database.

Properties
* VASP energy: -6.525 eV per atom
* raw formation energy: -140.8 kJ/mol of atoms
* total magnetization: 3.14 μB/f.u.

Cell and atoms, written as CIF:
```
data_Ac2Ce4Ge3O2
_chemical_formula_sum 'Ac4 Ce8 Ge6 O4'
_cell_length_a 4.719
_cell_length_b 4.719
_cell_length_c 25.251
_cell_angle_alpha 90.00
_cell_angle_beta 90.00
_cell_angle_gamma 90.00
_symmetry_space_group_name_H-M 'I 4/m m m'
_symmetry_Int_Tables_number 139
_symmetry_space_group_name_Hall '-I 4 2'
loop_
_atom_site_label
_atom_site_type_symbol
_atom_site_fract_x
_atom_site_fract_y
_atom_site_fract_z
Ac1 Ac 0.000 0.000 0.199
Ce1 Ce 0.000 0.500 0.078
Ge1 Ge 0.000 0.000 0.333
Ge2 Ge 0.000 0.000 0.500
O1 O 0.000 0.000 0.094
```

(3)
First-principles (GGA-PBE) data for a relaxed AcCeGeO6 crystal, as listed in the Alexandria database.

Properties
* VASP energy: -7.401 eV per atom
* raw formation energy: -238.0 kJ/mol of atoms
* total magnetization: 1.02 μB/f.u.

Cell and atoms, written as CIF:
```
data_AcCeGeO6
_chemical_formula_sum 'Ac1 Ce1 Ge1 O6'
_cell_length_a 5.5154
_cell_length_b 5.5154
_cell_length_c 5.3240
_cell_angle_alpha 90.00
_cell_angle_beta 90.00
_cell_angle_gamma 120.00
_symmetry_space_group_name_H-M 'P 3 1 2'
_symmetry_Int_Tables_number 149
loop_
_symmetry_equiv_pos_as_xyz
'x,y,z'
'-y,x-y,z'
'-x+y,-x,z'
'-y,-x,-z'
'-x+y,y,-z'
'x,x-y,-z'
loop_
_atom_site_label
_atom_site_type_symbol
_atom_site_fract_x
_atom_site_fract_y
_atom_site_fract_z
Ac1 Ac 0.0000 0.0000 0.0000
Ce1 Ce 0.3333 0.6667 0.5000
Ge1 Ge 0.6667 0.3333 0.5000
O1 O 0.3839 0.0413 0.7087
```

(4)
First-principles (GGA-PBE) data for a relaxed AcCeGe2O8 crystal, as listed in the Alexandria database.

Properties
* VASP energy: -7.254 eV per atom
* raw formation energy: -225.9 kJ/mol of atoms
* total magnetization: 1.10 μB/f.u.

Cell and atoms, written as CIF:
```
data_AcCeGe2O8
_chemical_formula_sum 'Ac2 Ce2 Ge4 O16'
_cell_length_a 5.245
_cell_length_b 5.245
_cell_length_c 11.819
_cell_angle_alpha 90.00
_cell_angle_beta 90.00
_cell_angle_gamma 90.00
_symmetry_space_group_name_H-M 'I -4'
_symmetry_Int_Tables_number 82
loop_
_symmetry_equiv_pos_as_xyz
'x,y,z'
'y,-x,-z'
'-x,-y,z'
'-y,x,-z'
'x+1/2,y+1/2,z+1/2'
'y+1/2,-x+1/2,-z+1/2'
'-x+1/2,-y+1/2,z+1/2'
'-y+1/2,x+1/2,-z+1/2'
loop_
_atom_site_label
_atom_site_type_symbol
_atom_site_fract_x
_atom_site_fract_y
_atom_site_fract_z
Ac1 Ac 0.000 0.000 0.000
Ce1 Ce 0.000 0.500 0.250
Ge1 Ge 0.000 0.000 0.500
Ge2 Ge 0.000 0.500 0.750
O1 O 0.130 0.253 0.416
O2 O 0.159 0.754 0.822
```

- What is the total magnetization in the first record?
  1.00 μB/f.u.